No. 1
This record from Alexandria via LeMat-Bulk describes TiVHgS2 after structural relaxation. The functional is PBE.

Results
D(E_F) in states/eV/cell: 10.13
Formation energy (no corrections) in eV per formula unit: 6.54

```
data_TiVHgS2
_chemical_formula_sum 'Ti1 V1 Hg1 S2'
_cell_length_a 4.982
_cell_length_b 4.982
_cell_length_c 5.040
_cell_angle_alpha 90.00
_cell_angle_beta 90.00
_cell_angle_gamma 90.00
_symmetry_space_group_name_H-M 'P 4/m m m'
_symmetry_Int_Tables_number 123
_symmetry_space_group_name_Hall '-P 4 2'
loop_
_atom_site_label
_atom_site_type_symbol
_atom_site_fract_x
_atom_site_fract_y
_atom_site_fract_z
Ti1 Ti 0.000 0.000 0.000
V1 V 0.500 0.500 0.000
Hg1 Hg 0.500 0.500 0.500
S1 S 0.000 0.500 0.500
```

=====

No. 2
This record from Alexandria via LeMat-Bulk describes Hf5Sn2Sb after structural relaxation. The functional is PBE.

Results
D(E_F) in states/eV/cell: 10.91
Formation energy (no corrections) in eV per formula unit: -1.83

```
data_Hf5Sn2Sb
_chemical_formula_sum 'Hf10 Sn4 Sb2'
_cell_length_a 7.375
_cell_length_b 7.375
_cell_length_c 6.412
_cell_angle_alpha 90.00
_cell_angle_beta 90.00
_cell_angle_gamma 90.00
_symmetry_space_group_name_H-M 'I 4/m m m'
_symmetry_Int_Tables_number 139
_symmetry_space_group_name_Hall '-I 4 2'
loop_
_atom_site_label
_atom_site_type_symbol
_atom_site_fract_x
_atom_site_fract_y
_atom_site_fract_z
Hf1 Hf 0.000 0.000 0.000
Hf2 Hf 0.250 0.250 0.250
Sn1 Sn 0.000 0.500 0.000
Sb1 Sb 0.000 0.000 0.500
```

=====

No. 3
This record from Alexandria via LeMat-Bulk describes Ca2ReRhS after structural relaxation. The functional is PBE.

Results
D(E_F) in states/eV/cell: 5.40
Formation energy (no corrections) in eV per formula unit: 0.80

```
data_Ca2ReRhS
_chemical_formula_sum 'Ca2 Re1 Rh1 S1'
_cell_length_a 5.175
_cell_length_b 5.175
_cell_length_c 4.323
_cell_angle_alpha 90.00
_cell_angle_beta 90.00
_cell_angle_gamma 90.00
_symmetry_space_group_name_H-M 'P 4/m m m'
_symmetry_Int_Tables_number 123
_symmetry_space_group_name_Hall '-P 4 2'
loop_
_atom_site_label
_atom_site_type_symbol
_atom_site_fract_x
_atom_site_fract_y
_atom_site_fract_z
Ca1 Ca 0.000 0.500 0.000
Re1 Re 0.000 0.000 0.500
Rh1 Rh 0.500 0.500 0.500
S1 S 0.000 0.000 0.000
```

=====

No. 4
This record from Alexandria via LeMat-Bulk describes ErTiZnPt after structural relaxation. The functional is PBE.

Results
Formation energy in eV/f.u.: -2.19
D(E_F) in states/eV/cell: 18.69

```
data_ErTiZnPt
_chemical_formula_sum 'Er4 Ti4 Zn4 Pt4'
_cell_length_a 6.683
_cell_length_b 6.683
_cell_length_c 6.683
_cell_angle_alpha 90.00
_cell_angle_beta 90.00
_cell_angle_gamma 90.00
_symmetry_space_group_name_H-M 'F -4 3 m'
_symmetry_Int_Tables_number 216
_symmetry_space_group_name_Hall 'F -4 2 3'
loop_
_atom_site_label
_atom_site_type_symbol
_atom_site_fract_x
_atom_site_fract_y
_atom_site_fract_z
Er1 Er 0.000 0.000 0.000
Ti1 Ti 0.000 0.000 0.500
Zn1 Zn 0.250 0.250 0.250
Pt1 Pt 0.250 0.250 0.750
```

=====

No. 5
This record from Alexandria via LeMat-Bulk describes KBaCuO2 after structural relaxation. The functional is PBE.

Results
Formation energy (no corrections) in eV per formula unit: -7.59

```
data_KBaCuO2
_chemical_formula_sum 'K2 Ba2 Cu2 O4'
_cell_length_a 5.817
_cell_length_b 5.563
_cell_length_c 7.449
_cell_angle_alpha 90.00
_cell_angle_beta 90.09
_cell_angle_gamma 90.00
_symmetry_space_group_name_H-M 'P 1 2/c 1'
_symmetry_Int_Tables_number 13
_symmetry_space_group_name_Hall '-P 2yc'
loop_
_atom_site_label
_atom_site_type_symbol
_atom_site_fract_x
_atom_site_fract_y
_atom_site_fract_z
K1 K 0.000 0.000 0.250
Ba1 Ba 0.500 0.498 0.250
Cu1 Cu 0.000 0.500 0.000
O1 O 0.245 0.297 0.501
```

=====

No. 6
This record from Alexandria via LeMat-Bulk describes Er2MgAl2Pd5 after structural relaxation. The functional is PBE.

Results
Formation energy in eV/f.u.: -7.93
D(E_F) in states/eV/cell: 14.51

```
data_Er2MgAl2Pd5
_chemical_formula_sum 'Er4 Mg2 Al4 Pd10'
_cell_length_a 9.937
_cell_length_b 9.937
_cell_length_c 3.661
_cell_angle_alpha 90.00
_cell_angle_beta 90.00
_cell_angle_gamma 90.00
_symmetry_space_group_name_H-M 'P 4/m b m'
_symmetry_Int_Tables_number 127
_symmetry_space_group_name_Hall '-P 4 2ab'
loop_
_atom_site_label
_atom_site_type_symbol
_atom_site_fract_x
_atom_site_fract_y
_atom_site_fract_z
Er1 Er 0.177 0.323 0.000
Mg1 Mg 0.000 0.000 0.000
Al1 Al 0.121 0.621 0.000
Pd1 Pd 0.000 0.500 0.500
Pd2 Pd 0.066 0.789 0.500
```

=====

No. 7
This record from Alexandria via LeMat-Bulk describes Mg2ZrFe after structural relaxation. The functional is PBE.

Results
Formation energy in eV/f.u.: 1.89
D(E_F) in states/eV/cell: 25.64

```
data_Mg2ZrFe
_chemical_formula_sum 'Mg8 Zr4 Fe4'
_cell_length_a 3.871
_cell_length_b 3.871
_cell_length_c 20.885
_cell_angle_alpha 90.00
_cell_angle_beta 90.00
_cell_angle_gamma 90.00
_symmetry_space_group_name_H-M 'I -4 2 d'
_symmetry_Int_Tables_number 122
_symmetry_space_group_name_Hall 'I -4 2bw'
loop_
_atom_site_label
_atom_site_type_symbol
_atom_site_fract_x
_atom_site_fract_y
_atom_site_fract_z
Mg1 Mg 0.238 0.250 0.125
Zr1 Zr 0.000 0.000 0.500
Fe1 Fe 0.000 0.000 0.000
```

=====

No. 8
This record from Alexandria via LeMat-Bulk describes TcHO3 after structural relaxation. The functional is PBE.

Results
D(E_F) in states/eV/cell: 1.16
Electronic total energy in eV/atom: -6.278

```
data_TcHO3
_chemical_formula_sum 'Tc1 H1 O3'
_cell_length_a 3.766
_cell_length_b 3.766
_cell_length_c 3.766
_cell_angle_alpha 90.00
_cell_angle_beta 90.00
_cell_angle_gamma 90.00
_symmetry_space_group_name_H-M 'P m -3 m'
_symmetry_Int_Tables_number 221
_symmetry_space_group_name_Hall '-P 4 2 3'
loop_
_atom_site_label
_atom_site_type_symbol
_atom_site_fract_x
_atom_site_fract_y
_atom_site_fract_z
Tc1 Tc 0.000 0.000 0.000
H1 H 0.500 0.500 0.500
O1 O 0.000 0.000 0.500
```

=====

No. 9
This record from Alexandria via LeMat-Bulk describes CaLa2SmSe4 after structural relaxation. The functional is PBE.

Results
D(E_F) in states/eV/cell: 3.92
Formation energy (no corrections) in eV per formula unit: -15.51

```
data_CaLa2SmSe4
_chemical_formula_sum 'Ca1 La2 Sm1 Se4'
_cell_length_a 7.371
_cell_length_b 4.230
_cell_length_c 7.375
_cell_angle_alpha 90.00
_cell_angle_beta 109.17
_cell_angle_gamma 90.00
_symmetry_space_group_name_H-M 'P 1 2/m 1'
_symmetry_Int_Tables_number 10
_symmetry_space_group_name_Hall '-P 2y'
loop_
_atom_site_label
_atom_site_type_symbol
_atom_site_fract_x
_atom_site_fract_y
_atom_site_fract_z
Ca1 Ca 0.000 0.000 0.000
La1 La 0.000 0.500 0.500
La2 La 0.500 0.000 0.500
Sm1 Sm 0.500 0.500 0.000
Se1 Se 0.245 0.500 0.238
Se2 Se 0.252 0.000 0.761
```

=====

No. 10
This record from Alexandria via LeMat-Bulk describes NaCaAl2V after structural relaxation. The functional is PBE.

Results
Formation energy in eV/f.u.: 5.86
D(E_F) in states/eV/cell: 3.88

```
data_NaCaAl2V
_chemical_formula_sum 'Na1 Ca1 Al2 V1'
_cell_length_a 5.010
_cell_length_b 5.010
_cell_length_c 5.130
_cell_angle_alpha 90.00
_cell_angle_beta 90.00
_cell_angle_gamma 90.00
_symmetry_space_group_name_H-M 'P 4/m m m'
_symmetry_Int_Tables_number 123
_symmetry_space_group_name_Hall '-P 4 2'
loop_
_atom_site_label
_atom_site_type_symbol
_atom_site_fract_x
_atom_site_fract_y
_atom_site_fract_z
Na1 Na 0.000 0.000 0.000
Ca1 Ca 0.000 0.000 0.500
Al1 Al 0.000 0.500 0.000
V1 V 0.500 0.500 0.500
```

=====

No. 11
This record from Alexandria via LeMat-Bulk describes La7Tb4Tm after structural relaxation. The functional is PBE.

Results
Formation energy in eV/f.u.: 0.21
D(E_F) in states/eV/cell: 18.63

```
data_La7Tb4Tm
_chemical_formula_sum 'La7 Tb4 Tm1'
_cell_length_a 6.415
_cell_length_b 7.365
_cell_length_c 9.102
_cell_angle_alpha 90.13
_cell_angle_beta 103.47
_cell_angle_gamma 90.02
_symmetry_space_group_name_H-M 'P -1'
_symmetry_Int_Tables_number 2
_symmetry_space_group_name_Hall '-P 1'
loop_
_atom_site_label
_atom_site_type_symbol
_atom_site_fract_x
_atom_site_fract_y
_atom_site_fract_z
La1 La 0.000 0.000 0.000
La2 La 0.221 0.500 0.666
La3 La 0.279 0.751 0.333
La4 La 0.499 0.250 0.002
Tb1 Tb 0.222 0.999 0.665
Tb2 Tb 0.276 0.247 0.330
Tm1 Tm 0.000 0.500 0.000
```

=====

No. 12
This record from Alexandria via LeMat-Bulk describes Nd6DyMg after structural relaxation. The functional is PBE.

Results
Formation energy in eV/f.u.: 0.01
D(E_F) in states/eV/cell: 9.35

```
data_Nd6DyMg
_chemical_formula_sum 'Nd6 Dy1 Mg1'
_cell_length_a 5.083
_cell_length_b 5.083
_cell_length_c 10.262
_cell_angle_alpha 90.00
_cell_angle_beta 90.00
_cell_angle_gamma 90.00
_symmetry_space_group_name_H-M 'P 4/m m m'
_symmetry_Int_Tables_number 123
_symmetry_space_group_name_Hall '-P 4 2'
loop_
_atom_site_label
_atom_site_type_symbol
_atom_site_fract_x
_atom_site_fract_y
_atom_site_fract_z
Nd1 Nd 0.000 0.000 0.000
Nd2 Nd 0.000 0.000 0.500
Nd3 Nd 0.000 0.500 0.247
Dy1 Dy 0.500 0.500 0.500
Mg1 Mg 0.500 0.500 0.000
```